Record 1
A geometry-optimized LiLaGd2 structure, computed with GGA-PBE.

The space group is P4/mmm (No. 123) and the conventional cell measures 5.7501, 5.7501 and 3.7086 Å, with angles of 90.00, 90.00 and 90.00 degrees. Symmetry generates all atoms from Li at (0.0000, 0.0000, 0.0000), La at (0.5000, 0.5000, 0.0000) and Gd at (0.0000, 0.5000, 0.5000).

The value obtained for the formation enthalpy at 0 K is 0.143 eV per atom. For the energy above the most stable polymorph in this dataset, the calculation gives 77 meV/atom. The value obtained for the size of the total moment is 3.89 μB per atom.

Record 2
A geometry-optimized Th2ScFe structure, computed with GGA-PBE.

The space group is P2_1/m (No. 11) and the conventional cell measures 3.6407, 9.6288 and 5.9284 Å, with angles of 90.00, 107.86 and 90.00 degrees. Symmetry generates all atoms from Th at (0.1374, 0.0681, 0.2744), Sc at (0.4090, 0.2500, 0.8169) and Fe at (0.2923, 0.7500, 0.5857).

The value obtained for the formation enthalpy at 0 K is -0.019 eV per atom. For the energy above the most stable polymorph in this dataset, the calculation gives 26 meV/atom. The value obtained for the size of the total moment is 0.00 μB per atom.

Record 3
A geometry-optimized Lu2PbAu structure, computed with GGA-PBE.

The space group is P4/mmm (No. 123) and the conventional cell measures 3.6483, 3.6483 and 7.4079 Å, with angles of 90.00, 90.00 and 90.00 degrees. Symmetry generates all atoms from Lu at (0.0000, 0.0000, 0.2238), Pb at (0.5000, 0.5000, 0.5000) and Au at (0.5000, 0.5000, 0.0000).

The value obtained for the formation enthalpy at 0 K is -0.596 eV per atom. The value obtained for the size of the total moment is 0.00 μB per atom.

Record 4
A geometry-optimized Sr3Cu2Si3 structure, computed with GGA-PBE.

The space group is Cmcm (No. 63) and the conventional cell measures 4.2074, 11.5117 and 15.8974 Å, with angles of 90.00, 90.00 and 90.00 degrees. Symmetry generates all atoms from Sr at (0.0000, 0.0487, 0.2500), Sr at (0.0000, 0.3453, 0.0958), Cu at (0.0000, 0.3660, 0.6172), Si at (0.0000, 0.0702, 0.0535) and Si at (0.0000, 0.2445, 0.7500).

The value obtained for the size of the total moment is 0.00 μB per atom. The formation energy (no corrections) comes out at -0.354 eV per atom.

Record 5
A geometry-optimized Li3Sn2Rh3 structure, computed with GGA-PBE.

The space group is R3m (No. 160, hexagonal axes) and the conventional cell measures 4.4192, 4.4192 and 21.5371 Å, with angles of 90.00, 90.00 and 120.00 degrees. Symmetry generates all atoms from Li at (0.0000, 0.0000, 0.0000), Li at (0.0000, 0.0000, 0.1252), Li at (0.0000, 0.0000, 0.5013), Sn at (0.0000, 0.0000, 0.2517), Sn at (0.0000, 0.0000, 0.7495), Rh at (0.0000, 0.0000, 0.3766), Rh at (0.0000, 0.0000, 0.6251) and Rh at (0.0000, 0.0000, 0.8761).

The value obtained for the formation enthalpy at 0 K is -0.522 eV per atom. The value obtained for the size of the total moment is 0.00 μB per atom.

Record 6
A geometry-optimized KLi2PaTe4 structure, computed with GGA-PBE.

The space group is I222 (No. 23) and the conventional cell measures 7.8908, 7.8931 and 8.8937 Å, with angles of 90.00, 90.00 and 90.00 degrees. Symmetry generates all atoms from K at (0.0000, 0.0000, 0.0000), Li at (0.0000, 0.5000, 0.2493), Pa at (0.0000, 0.0000, 0.5000) and Te at (0.2168, 0.2168, 0.3191).

The value obtained for the size of the total moment is 0.00 μB per atom. The formation energy (no corrections) comes out at -0.770 eV per atom.

Record 7
A geometry-optimized K3ScCu2F9 structure, computed with GGA-PBE.

The space group is P-3m1 (No. 164) and the conventional cell measures 5.9148, 5.9148 and 7.3245 Å, with angles of 90.00, 90.00 and 120.00 degrees. Symmetry generates all atoms from K at (0.0000, 0.0000, 0.0000), K at (0.3333, 0.6667, 0.6950), Sc at (0.0000, 0.0000, 0.5000), Cu at (0.3333, 0.6667, 0.1585), F at (0.0000, 0.5000, 0.0000) and F at (0.1617, 0.3235, 0.3397).

The value obtained for the size of the total moment is 0.07 μB per atom. The formation energy (no corrections) comes out at -2.666 eV per atom.

Record 8
A geometry-optimized Cd2OsSe structure, computed with GGA-PBE.

The space group is I4/mmm (No. 139) and the conventional cell measures 4.0150, 4.0150 and 9.1610 Å, with angles of 90.00, 90.00 and 90.00 degrees. Symmetry generates all atoms from Cd at (0.0000, 0.5000, 0.2500), Os at (0.0000, 0.0000, 0.0000) and Se at (0.0000, 0.0000, 0.5000).

The value obtained for the size of the total moment is 0.00 μB per atom. The formation energy (no corrections) comes out at 0.675 eV per atom.